Entry 1:
Density functional theory data (PBE) for crystalline Ca3SmZn8 at its relaxed geometry.

Cell lengths 5.5550, 5.5550, 27.2285 Å; angles 90.00, 90.00, 120.00 degrees
With the nearest neighbours (Å) after each atom.
Space group R3m (No. 160, hexagonal axes)
Unique sites:
Ca: 0.0000 0.0000 0.0000  12 Zn 3.25-3.27, 4 Ca 3.39-3.41
Ca: 0.0000 0.0000 0.1253  12 Zn 3.25-3.26, 3 Sm 3.41, 1 Ca 3.41
Ca: 0.0000 0.0000 0.6260  12 Zn 3.26-3.27, 3 Ca 3.39, 1 Sm 3.40
Sm: 0.0000 0.0000 0.5011  12 Zn 3.24-3.26, 4 Ca 3.40-3.41
Zn: 0.0000 0.0000 0.3134  6 Zn 2.78-2.80
Zn: 0.0000 0.0000 0.8133  6 Zn 2.76-2.78
Zn: 0.0010 0.5005 0.0634  6 Zn 2.77-2.79
Zn: 0.0010 0.5005 0.5626  6 Zn 2.76-2.80

Calculated values
- Offset from the most stable computed form: 0.008 eV per atom
- Formation enthalpy at 0 K: -0.271 eV per atom


Entry 2:
Density functional theory data (PBE) for crystalline CaSm2Zn8 at its relaxed geometry.

Cell lengths 7.7519, 15.0457, 4.8751 Å; angles 90.00, 128.83, 90.00 degrees
With the nearest neighbours (Å) after each atom.
Space group C2/m (No. 12)
Unique sites:
Ca: 0.0000 0.0000 0.0000  6 Zn 2.97-3.27
Sm: 0.0000 0.3078 0.5000  12 Zn 2.95-3.14
Zn: 0.0000 0.1977 0.0000  4 Sm 2.95-3.02, 1 Ca 2.97, 6 Zn 3.00-3.16
Zn: 0.0012 0.5000 0.7537  2 Zn 2.41-2.46
Zn: 0.2252 0.1238 0.7255  5 Zn 2.72-3.01

Calculated values
- Formation enthalpy at 0 K: -0.277 eV per atom


Entry 3:
Density functional theory data (PBE) for crystalline CaSmZn at its relaxed geometry.

Cell lengths 5.1188, 5.1188, 3.8360 Å; angles 90.00, 90.00, 120.00 degrees
With the nearest neighbours (Å) after each atom.
Space group P3m1 (No. 156)
Unique sites:
Ca: 0.0000 0.0000 0.0000  3 Zn 3.14, 3 Sm 3.46
Sm: 0.3333 0.6667 0.4670  3 Zn 3.12, 3 Ca 3.46
Zn: 0.6667 0.3333 0.7257  3 Sm 3.12, 3 Ca 3.14

Calculated values
- Offset from the most stable computed form: 0.181 eV per atom
- Formation enthalpy at 0 K: 0.017 eV per atom


Entry 4:
Density functional theory data (PBE) for crystalline CaSmZn4 at its relaxed geometry.

Cell lengths 7.8348, 7.8348, 7.8348 Å; angles 90.00, 90.00, 90.00 degrees
With the nearest neighbours (Å) after each atom.
Space group F-43m (No. 216)
Unique sites:
Ca: 0.0000 0.0000 0.0000  12 Zn 3.25, 4 Sm 3.39
Sm: 0.2500 0.2500 0.2500  12 Zn 3.25, 4 Ca 3.39
Zn: 0.1239 0.1239 0.6239  6 Zn 2.75-2.79

Calculated values
- Offset from the most stable computed form: 0.040 eV per atom
- Formation enthalpy at 0 K: -0.283 eV per atom


Entry 5:
Density functional theory data (PBE) for crystalline CaSm2Zn9 at its relaxed geometry.

Cell lengths 5.5353, 5.5353, 25.9184 Å; angles 90.00, 90.00, 120.00 degrees
With the nearest neighbours (Å) after each atom.
Space group R-3m (No. 166, hexagonal axes)
Unique sites:
Ca: 0.0000 0.0000 0.0000  18 Zn 3.20-3.49
Sm: 0.0000 0.0000 0.1407  12 Zn 3.16-3.27, 3 Sm 3.47
Zn: 0.0000 0.0000 0.3348  6 Zn 2.64-2.68
Zn: 0.0000 0.0000 0.5000  6 Zn 2.73
Zn: 0.0049 0.5024 0.9179  7 Zn 2.64-2.81

Calculated values
- Formation enthalpy at 0 K: -0.271 eV per atom


Entry 6:
Density functional theory data (PBE) for crystalline Ca2Sm2Zn3 at its relaxed geometry.

Cell lengths 5.1083, 5.1083, 25.4556 Å; angles 90.00, 90.00, 120.00 degrees
With the nearest neighbours (Å) after each atom.
Space group R-3m (No. 166, hexagonal axes)
Unique sites:
Ca: 0.0000 0.0000 0.1269  5 Zn 3.21-3.28, 3 Ca 3.58
Sm: 0.0000 0.0000 0.3772  7 Zn 3.07-3.15
Zn: 0.0000 0.0000 0.0000  6 Sm 3.15, 2 Ca 3.23
Zn: 0.0000 0.0000 0.2558  4 Sm 3.07-3.09, 4 Ca 3.21-3.28

Calculated values
- Formation enthalpy at 0 K: -0.199 eV per atom


- Number 5 is which compound?
  CaSm2Zn9


- Which value of formation enthalpy at 0 K does entry 1 give?
  -0.271 eV per atom


- Which value of formation enthalpy at 0 K does entry 1 give?
  -0.271 eV per atom